Cs2BaNiH8 (PBE-GGA, optimized geometry); theoretical density = 3.6 Mg/m³; total energy = -37.98 eV per cell; space group = P-3m1; total magnetic moment = 0.00 μB per formula unit
1.0
6.0204 0.0000 0.0000
-3.0102 5.2138 0.0000
0.0000 0.0000 6.8196
H Ni Cs Ba
8 1 2 1
Direct
0.6667 0.3333 0.5908
0.3333 0.6667 0.4092
0.1174 0.8826 0.1303
0.8826 0.1174 0.8697
0.7653 0.8826 0.1303
0.8826 0.7653 0.8697
0.1174 0.2347 0.1303
0.2347 0.1174 0.8697
0.0000 0.0000 0.0000
0.6667 0.3333 0.1571
0.3333 0.6667 0.8429
0.0000 0.0000 0.5000